This record from Alexandria via LeMat-Bulk describes Pm4Sm3Ho after structural relaxation. The functional is PBE.

Cell: 23.642 3.508 6.885 Å, 90.00 106.88 90.00°
Fractional coordinates of all 16 atoms:
1 Pm 0.124 0.000 0.365
2 Pm 0.241 0.500 0.241
3 Pm 0.259 0.000 0.759
4 Pm 0.376 0.500 0.635
5 Pm 0.624 0.500 0.365
6 Pm 0.741 0.000 0.241
7 Pm 0.759 0.500 0.759
8 Pm 0.876 0.000 0.635
9 Sm 0.000 0.000 0.500
10 Sm 0.124 0.000 0.884
11 Sm 0.376 0.500 0.116
12 Sm 0.500 0.500 0.500
13 Sm 0.624 0.500 0.884
14 Sm 0.876 0.000 0.116
15 Ho 0.000 0.500 0.000
16 Ho 0.500 0.000 0.000

E_form (eV per atom): 0.16
Excess energy over the best structure of this formula in the dataset (eV/atom): 0.127
Calculated density (g/cm³): 7.27
Size of the total moment (μB/f.u.): 0.00

This record from Alexandria via LeMat-Bulk describes Pm4Sm4Ho3 after structural relaxation. The functional is PBE.

Cell: 12.003 12.003 12.003 Å, 162.55 133.48 50.06°
Fractional coordinates of all 11 atoms:
1 Pm 0.185 0.000 0.185
2 Pm 0.240 0.240 0.000
3 Pm 0.760 0.760 0.000
4 Pm 0.815 0.000 0.815
5 Sm 0.181 0.857 0.324
6 Sm 0.467 0.143 0.324
7 Sm 0.533 0.857 0.676
8 Sm 0.819 0.143 0.676
9 Ho 0.107 0.607 0.500
10 Ho 0.500 0.500 0.000
11 Ho 0.893 0.393 0.500

E_form (eV per atom): 0.13
Excess energy over the best structure of this formula in the dataset (eV/atom): 0.071
Calculated density (g/cm³): 7.41
Size of the total moment (μB/f.u.): 0.00

This record from Alexandria via LeMat-Bulk describes Pm4Sm3Ho8 after structural relaxation. The functional is PBE.

Cell: 9.293 9.293 6.769 Å, 111.33 111.33 87.40°
Fractional coordinates of all 15 atoms:
1 Pm 0.000 0.000 0.000
2 Pm 0.000 0.000 0.500
3 Pm 0.000 0.500 0.000
4 Pm 0.500 0.000 0.000
5 Sm 0.000 0.500 0.500
6 Sm 0.500 0.000 0.500
7 Sm 0.500 0.500 0.000
8 Ho 0.256 0.744 0.000
9 Ho 0.268 0.268 0.029
10 Ho 0.268 0.268 0.507
11 Ho 0.360 0.640 0.500
12 Ho 0.640 0.360 0.500
13 Ho 0.732 0.732 0.493
14 Ho 0.732 0.732 0.971
15 Ho 0.744 0.256 0.000

E_form (eV per atom): 0.37
Excess energy over the best structure of this formula in the dataset (eV/atom): 0.238
Calculated density (g/cm³): 7.73
Size of the total moment (μB/f.u.): 0.00

This record from Alexandria via LeMat-Bulk describes Pm7SmHo2 after structural relaxation. The functional is PBE.

Cell: 10.392 10.392 3.505 Å, 90.00 90.00 109.02°
Fractional coordinates of all 10 atoms:
1 Pm 0.000 0.000 0.000
2 Pm 0.113 0.375 0.000
3 Pm 0.177 0.823 0.500
4 Pm 0.375 0.113 0.000
5 Pm 0.625 0.887 0.000
6 Pm 0.823 0.177 0.500
7 Pm 0.887 0.625 0.000
8 Sm 0.500 0.500 0.500
9 Ho 0.332 0.668 0.000
10 Ho 0.668 0.332 0.000

E_form (eV per atom): 0.39
Excess energy over the best structure of this formula in the dataset (eV/atom): 0.000
Calculated density (g/cm³): 6.94
Size of the total moment (μB/f.u.): 0.00

This record from Alexandria via LeMat-Bulk describes Pm2Sm4Ho3 after structural relaxation. The functional is PBE.

Cell: 6.224 6.232 9.513 Å, 108.97 90.08 119.92°
Fractional coordinates of all 9 atoms:
1 Pm 0.055 0.278 0.167
2 Pm 0.945 0.722 0.833
3 Sm 0.168 0.834 0.500
4 Sm 0.279 0.391 0.833
5 Sm 0.721 0.609 0.167
6 Sm 0.832 0.166 0.500
7 Ho 0.390 0.946 0.167
8 Ho 0.500 0.500 0.500
9 Ho 0.610 0.054 0.833

E_form (eV per atom): 0.02
Excess energy over the best structure of this formula in the dataset (eV/atom): 0.000
Calculated density (g/cm³): 7.77
Size of the total moment (μB/f.u.): 0.00

This record from Alexandria via LeMat-Bulk describes Pm5Sm3Ho after structural relaxation. The functional is PBE.

Cell: 10.621 10.621 11.765 Å, 121.16 121.16 34.35°
Fractional coordinates of all 18 atoms:
1 Pm 0.035 0.690 0.348
2 Pm 0.083 0.917 0.750
3 Pm 0.135 0.506 0.667
4 Pm 0.310 0.965 0.152
5 Pm 0.494 0.865 0.833
6 Pm 0.506 0.135 0.167
7 Pm 0.690 0.035 0.848
8 Pm 0.865 0.494 0.333
9 Pm 0.917 0.083 0.250
10 Pm 0.965 0.310 0.652
11 Sm 0.101 0.543 0.971
12 Sm 0.457 0.899 0.529
13 Sm 0.500 0.500 0.000
14 Sm 0.500 0.500 0.500
15 Sm 0.543 0.101 0.471
16 Sm 0.899 0.457 0.029
17 Ho 0.405 0.595 0.250
18 Ho 0.595 0.405 0.750

E_form (eV per atom): 0.27
Excess energy over the best structure of this formula in the dataset (eV/atom): 0.000
Calculated density (g/cm³): 7.08
Size of the total moment (μB/f.u.): 0.00